DFT (GGA-PBE) results for crystalline CsPbF4 at its relaxed geometry.

Results
The volume comes out at 282 Å³ per cell. The formation energy without anion corrections comes out at -14.266 eV per formula unit. The calculation puts the energy above the most stable polymorph in this dataset at 0.000 eV/atom. Its space-group type is Cmcm. The calculation puts the uncorrected energy at -4.3855 eV per atom.

abc: 4.6031 6.9586 9.1053
angles: 90.00 104.64 90.00
Closest atoms and distances in Å follow each position.
Fractional positions:
Cs  0.3278  0.7500  0.6556  6 F 3.03-3.09
Cs  0.6722  0.2500  0.3444  6 F 3.03-3.09
Pb  0.0849  0.7500  0.1699  6 F 2.19-2.30
Pb  0.9151  0.2500  0.8301  6 F 2.19-2.30
F  0.1747  0.5328  0.3494  1 Pb 2.19
F  0.8253  0.4672  0.6506  1 Pb 2.19
F  0.1747  0.9672  0.3494  1 Pb 2.19
F  0.8253  0.0328  0.6506  1 Pb 2.19
F  0.5830  0.7500  0.1660  2 Pb 2.30
F  0.4170  0.2500  0.8340  2 Pb 2.30
F  0.0000  0.5000  0.0000  2 Pb 2.29
F  0.0000  0.0000  0.0000  2 Pb 2.29